# 1
# ScGe3Pd6

A relaxed ScGe3Pd6 crystal (PBE, Alexandria via LeMat-Bulk).

```
ScGe3Pd6
1.0
-1.7779 -2.5127 2.9078
-0.7473 -6.2090 -5.8223
8.9132 0.6006 5.9689
Pd Ge Sc
12 6 2
Direct
0.7500 0.8492 0.8080 Pd
0.2500 0.3002 0.7003 Pd
0.7500 0.4652 0.5843 Pd
0.2500 0.9122 0.5380 Pd
0.2500 0.5979 0.9867 Pd
0.7500 0.8598 0.0944 Pd
0.2500 0.1402 0.9056 Pd
0.7500 0.0878 0.4620 Pd
0.2500 0.1508 0.1920 Pd
0.7500 0.6998 0.2997 Pd
0.2500 0.5348 0.4157 Pd
0.7500 0.4021 0.0133 Pd
0.7500 0.1454 0.0642 Ge
0.2500 0.4756 0.1679 Ge
0.2500 0.2766 0.4599 Ge
0.2500 0.8546 0.9358 Ge
0.7500 0.7234 0.5401 Ge
0.7500 0.5244 0.8321 Ge
0.2500 0.8866 0.2747 Sc
0.7500 0.1134 0.7253 Sc
```

**Volume**: 16.92 A^3/atom
**Space-group type**: P2_1/m (11)
**Total DFT energy (no corrections)**: -5.65 eV per atom


# 2
# HfZrPaTa

A relaxed HfZrPaTa crystal (PBE, Alexandria via LeMat-Bulk).

```
HfZrPaTa
1.0
4.9849 0.0000 0.0000
2.4925 4.3171 0.0000
2.4925 1.4390 4.0702
Zr Ta Pa Hf
1 1 1 1
Direct
0.7500 0.7500 0.7500 Zr
0.2500 0.2500 0.2500 Ta
0.5000 0.5000 0.5000 Pa
0.0000 0.0000 0.0000 Hf
```

**Volume**: 21.90 A^3/atom
**Space-group type**: F-43m (216)
**Total DFT energy (no corrections)**: -9.85 eV per atom


# 3
# Pm6HoCd

A relaxed Pm6HoCd crystal (PBE, Alexandria via LeMat-Bulk).

```
Pm6HoCd
1.0
-1.1699 -1.6081 4.5887
3.9361 -3.0841 -0.0773
5.8344 7.3445 4.0615
Pm Cd Ho
6 1 1
Direct
0.5000 0.5000 0.5000 Pm
0.0000 0.5000 0.2452 Pm
0.0000 0.5000 0.7548 Pm
0.5000 0.0000 0.2452 Pm
0.5000 0.0000 0.7548 Pm
0.5000 0.5000 0.0000 Pm
0.0000 0.0000 0.0000 Cd
0.0000 0.0000 0.5000 Ho
```

**Volume**: 31.96 A^3/atom
**Space-group type**: P4/mmm (123)
**Total DFT energy (no corrections)**: -4.29 eV per atom


# 4
# TlReCl2

A relaxed TlReCl2 crystal (PBE, Alexandria via LeMat-Bulk).

```
TlReCl2
1.0
-0.2318 3.2692 0.7868
-1.5395 -1.3491 -2.6777
-7.6480 -1.8214 5.3148
Tl Cl Re
1 2 1
Direct
0.5000 0.5000 0.7359 Tl
0.5000 0.5000 0.3125 Cl
0.0000 0.0000 0.9587 Cl
0.0000 0.0000 0.4929 Re
```

**Volume**: 22.65 A^3/atom
**Formation energy without anion corrections**: 381 meV per atom
**Space-group type**: Cmm2 (35)
**Total DFT energy (no corrections)**: -4.25 eV per atom


# 5
# CaTaBr2

A relaxed CaTaBr2 crystal (PBE, Alexandria via LeMat-Bulk).

```
CaTaBr2
1.0
-4.3958 -2.6559 0.7489
1.1730 -2.4948 -1.9626
2.6944 -3.5485 3.2304
Br Ca Ta
2 1 1
Direct
0.0000 0.8381 0.9500 Br
0.5000 0.1988 0.2305 Br
0.0000 0.5554 0.5100 Ca
0.5000 0.9078 0.8094 Ta
```

**Volume**: 23.02 A^3/atom
**Formation energy without anion corrections**: -151 meV per atom
**Space-group type**: Pm (6)
**Total DFT energy (no corrections)**: -4.45 eV per atom


# 6
# Tl5HgI4

A relaxed Tl5HgI4 crystal (PBE, Alexandria via LeMat-Bulk).

```
Tl5HgI4
1.0
4.8619 0.0000 -0.6852
-0.0966 4.8609 -0.6852
0.0332 0.0339 17.8275
I Tl Hg
4 5 1
Direct
0.8057 0.8057 0.6113 I
0.3977 0.3977 0.7953 I
0.6023 0.6023 0.2047 I
0.1943 0.1943 0.3887 I
0.2984 0.2984 0.5967 Tl
0.7016 0.7016 0.4033 Tl
0.0952 0.0952 0.1904 Tl
0.5000 0.5000 0.0000 Tl
0.9048 0.9048 0.8096 Tl
0.0000 0.0000 0.0000 Hg
```

**Volume**: 42.15 A^3/atom
**Formation energy without anion corrections**: -480 meV per atom
**Space-group type**: I4/mmm (139)
**Total DFT energy (no corrections)**: -2.31 eV per atom


Repeat the fourth record exactly.
# TlReCl2

A relaxed TlReCl2 crystal (PBE, Alexandria via LeMat-Bulk).

```
TlReCl2
1.0
-0.2318 3.2692 0.7868
-1.5395 -1.3491 -2.6777
-7.6480 -1.8214 5.3148
Tl Cl Re
1 2 1
Direct
0.5000 0.5000 0.7359 Tl
0.5000 0.5000 0.3125 Cl
0.0000 0.0000 0.9587 Cl
0.0000 0.0000 0.4929 Re
```

**Volume**: 22.65 A^3/atom
**Formation energy without anion corrections**: 381 meV per atom
**Space-group type**: Cmm2 (35)
**Total DFT energy (no corrections)**: -4.25 eV per atom


What is the volume in the first record? 16.92 A^3/atom


Which formula does entry 6 have? Tl5HgI4